NiAg2IO6: optimized geometry, GGA+U.

## Properties
DFT total energy ... -164.5 eV for the cell shown

Cell lengths 7.8923, 7.8923, 7.8923 Å; angles 90.00, 90.00, 90.00 degrees
Last column: nearest neighbours and their distance in Å.
Space group Fm-3m (No. 225)
Inequivalent atoms, fractional coordinates:
Ni  0.0000  0.0000  0.0000 [4 per cell]  6 O 2.06
Ag  0.2500  0.2500  0.2500 [8 per cell]  12 O 2.79
I  0.0000  0.0000  0.5000 [4 per cell]  6 O 1.88
O  0.0000  0.0000  0.2614 [24 per cell]  1 I 1.88, 1 Ni 2.06